Entry 1:
## ZrReP2 (PBE)

Data for ZrReP2 after structural relaxation.

Computed properties:
- Relative energy among the computed polymorphs: 593 meV per atom
- Space-group type: Pmmm
- DFT formation energy: -0.138 eV/atom
- N(E_F): 2.29 states/eV/cell

Geometry as extended XYZ:
```
4
Lattice="-0.447 -2.418 -2.286 3.526 2.058 -2.868 2.635 -2.115 1.722" Properties=species:S:1:pos:R:3 pbc="T T T"
Zr 3.080 -0.028 -0.573
Re 1.094 -2.267 -0.282
P 1.539 -0.180 -2.577
P 0.000 0.000 0.000
```

***

Entry 2:
## BaFeOs (PBE)

Data for BaFeOs after structural relaxation.

Computed properties:
- Relative energy among the computed polymorphs: 51 meV per atom
- Space-group type: Pm
- DFT formation energy: 0.396 eV/atom
- N(E_F): 6.62 states/eV/cell

Geometry as extended XYZ:
```
6
Lattice="-6.765 -4.636 -4.536 0.971 -3.457 2.080 -3.184 1.216 3.507" Properties=species:S:1:pos:R:3 pbc="T T T"
Fe -4.242 -2.260 0.661
Ba -1.298 -3.115 2.006
Os -3.614 -4.707 0.442
Os -4.854 -3.858 2.431
Ba -7.211 -3.404 0.146
Fe -2.695 -2.842 -1.028
```

***

Entry 3:
## Li2CrRe (PBE)

Data for Li2CrRe after structural relaxation.

Computed properties:
- Relative energy among the computed polymorphs: 755 meV per atom
- Space-group type: Fm-3m
- DFT formation energy: 1.003 eV/atom
- N(E_F): 3.20 states/eV/cell

Geometry as extended XYZ:
```
4
Lattice="-0.326 -2.426 3.261 -3.598 -0.431 1.868 -2.031 -3.525 -0.276" Properties=species:S:1:pos:R:3 pbc="T T T"
Li -1.489 -1.595 1.213
Li -4.466 -4.786 3.640
Re -2.978 -3.191 2.427
Cr 0.000 0.000 0.000
```

***

Entry 4:
## CsTaOs2 (PBE)

Data for CsTaOs2 after structural relaxation.

Computed properties:
- Relative energy among the computed polymorphs: 54 meV per atom
- Space-group type: Fm-3m
- DFT formation energy: 1.795 eV/atom
- N(E_F): 3.22 states/eV/cell

Geometry as extended XYZ:
```
4
Lattice="0.000 3.379 3.379 3.379 0.000 3.379 3.379 3.379 0.000" Properties=species:S:1:pos:R:3 pbc="T T T"
Os 1.689 1.689 1.689
Os 5.068 5.068 5.068
Cs 0.000 0.000 0.000
Ta 3.379 3.379 3.379
```

***

Entry 5:
## CuBi2Br (PBE)

Data for CuBi2Br after structural relaxation.

Computed properties:
- Relative energy among the computed polymorphs: 36 meV per atom
- Space-group type: Fm-3m
- N(E_F): 2.72 states/eV/cell

Geometry as extended XYZ:
```
4
Lattice="1.114 -3.782 -3.417 0.110 -4.977 1.561 -3.733 -3.302 -1.545" Properties=species:S:1:pos:R:3 pbc="T T T"
Br -1.255 -6.031 -1.701
Bi -0.627 -3.015 -0.850
Cu 0.000 0.000 0.000
Bi -1.882 -9.046 -2.551
```

***

Entry 6:
## Pm5Hg2Pd2 (PBE)

Data for Pm5Hg2Pd2 after structural relaxation.

Computed properties:
- Space-group type: Cmce
- DFT formation energy: -0.544 eV/atom
- N(E_F): 15.85 states/eV/cell

Geometry as extended XYZ:
```
18
Lattice="-2.391 7.704 -2.975 -4.076 1.066 6.038 8.228 2.776 0.575" Properties=species:S:1:pos:R:3 pbc="T T T"
Hg -0.627 5.779 3.045
Pm 0.000 0.000 0.000
Hg 2.388 5.768 0.593
Pd -5.039 5.722 3.410
Pm -3.090 7.878 2.480
Hg 2.607 1.393 1.513
Pm -0.221 2.581 2.416
Pm 2.472 5.298 3.754
Pm 4.359 7.337 -1.374
Pm 4.850 3.669 1.158
Pm 1.981 8.966 1.222
Pm -3.234 4.385 1.532
Pd -3.613 7.160 -0.370
Pd -1.429 3.049 -0.347
Hg 1.545 2.449 5.100
Pm -0.712 6.249 -0.116
Pm -2.599 4.210 5.012
Pd -2.855 1.611 3.433
```

***

Entry 7:
## CeNdPt (PBE)

Data for CeNdPt after structural relaxation.

Computed properties:
- Relative energy among the computed polymorphs: 0 meV per atom
- Space-group type: P2_1/m
- DFT formation energy: -0.738 eV/atom
- N(E_F): 11.03 states/eV/cell

Geometry as extended XYZ:
```
6
Lattice="-3.157 0.118 3.375 -0.306 -4.010 -0.146 6.095 -0.674 5.769" Properties=species:S:1:pos:R:3 pbc="T T T"
Nd 0.569 -3.754 5.807
Pt -1.573 -3.516 3.769
Nd 0.610 -1.623 2.660
Ce 2.995 -2.012 8.346
Ce 4.279 -4.040 5.890
Pt 2.752 -1.861 4.697
```

***

Entry 8:
## Sc2Cu2Au (PBE)

Data for Sc2Cu2Au after structural relaxation.

Computed properties:
- Relative energy among the computed polymorphs: 308 meV per atom
- Space-group type: P4/mbm
- DFT formation energy: -0.118 eV/atom
- N(E_F): 11.66 states/eV/cell

Geometry as extended XYZ:
```
10
Lattice="-6.587 -3.445 -0.646 3.368 -6.602 0.866 -0.438 0.213 3.334" Properties=species:S:1:pos:R:3 pbc="T T T"
Sc -3.820 -3.364 -0.287
Au 0.000 0.000 0.000
Cu 1.064 -4.444 2.127
Cu -4.722 -5.390 1.427
Cu -1.383 -7.825 2.022
Cu -2.274 -2.009 1.532
Sc -3.276 -7.262 0.034
Sc 0.057 -2.785 0.186
Au -1.610 -5.023 0.110
Sc 0.601 -6.683 0.507
```

***

Entry 9:
## Cs2GeIBr5 (PBE)

Data for Cs2GeIBr5 after structural relaxation.

Computed properties:
- Space-group type: I4mm

Geometry as extended XYZ:
```
9
Lattice="-5.899 -5.154 -1.008 5.765 -1.743 5.110 -1.493 6.856 3.626" Properties=species:S:1:pos:R:3 pbc="T T T"
Br 0.990 1.185 2.024
Br 0.069 1.137 6.247
Cs -2.622 2.137 3.506
Br -1.674 -1.149 1.529
Ge 0.013 0.015 0.026
Cs 1.007 -2.163 4.248
Br 0.144 4.944 3.983
I 3.209 3.842 6.564
Br 4.151 0.197 4.802
```

***

Entry 10:
## Nd6PRh2Br3 (PBE)

Data for Nd6PRh2Br3 after structural relaxation.

Computed properties:
- Space-group type: C2/m
- N(E_F): 3.28 states/eV/cell

Geometry as extended XYZ:
```
12
Lattice="-1.082 -7.148 0.352 2.046 3.643 5.910 -7.664 2.357 -0.263" Properties=species:S:1:pos:R:3 pbc="T T T"
Nd -5.881 0.922 1.519
Nd -5.943 -2.627 3.620
P 0.000 0.000 0.000
Br -2.295 3.068 4.875
Br -4.406 -4.216 1.124
Nd -0.820 -2.070 4.481
Nd -0.758 1.480 2.379
Nd -1.826 -2.204 0.482
Br -3.350 -0.574 3.000
Nd -4.875 1.057 5.517
Rh -0.041 -3.555 2.203
Rh 1.004 0.050 4.060
```

***

Entry 11:
## LaBe3Tl (PBE)

Data for LaBe3Tl after structural relaxation.

Computed properties:
- Relative energy among the computed polymorphs: 1019 meV per atom
- Space-group type: Pm-3m
- DFT formation energy: 1.744 eV/atom
- N(E_F): 7.08 states/eV/cell

Geometry as extended XYZ:
```
5
Lattice="-0.617 -5.323 -0.173 1.158 0.036 -5.235 5.199 -0.640 1.145" Properties=species:S:1:pos:R:3 pbc="T T T"
Be -0.309 -2.662 -0.087
Be 2.599 -0.320 0.573
Be 0.579 0.018 -2.617
Tl 2.869 -2.964 -2.132
La 0.000 0.000 0.000
```

***

Entry 12:
## EuCd4Ga (PBE)

Data for EuCd4Ga after structural relaxation.

Computed properties:
- Space-group type: F-43m
- DFT formation energy: -0.122 eV/atom
- N(E_F): 10.96 states/eV/cell

Geometry as extended XYZ:
```
6
Lattice="5.989 0.000 0.000 2.994 5.186 0.000 2.994 1.729 4.890" Properties=species:S:1:pos:R:3 pbc="T T T"
Cd 4.494 4.320 3.055
Cd 5.989 1.732 3.055
Ga 2.994 1.729 1.222
Cd 5.989 3.458 0.615
Eu 0.000 0.000 0.000
Cd 7.483 4.320 3.055
```

***

Entry 13:
## Y4Mg2Cd (PBE)

Data for Y4Mg2Cd after structural relaxation.

Computed properties:
- Space-group type: R-3m
- DFT formation energy: 0.030 eV/atom
- N(E_F): 10.47 states/eV/cell

Geometry as extended XYZ:
```
7
Lattice="5.056 0.000 1.580 2.281 4.512 1.580 -0.044 -0.027 9.021" Properties=species:S:1:pos:R:3 pbc="T T T"
Y 4.529 2.785 3.267
Cd 0.000 0.000 0.000
Y 6.375 3.921 6.236
Mg 1.858 1.143 2.933
Mg 5.435 3.342 9.247
Y 2.764 1.700 8.914
Y 0.918 0.564 5.944
```

***

Entry 14:
## Tm2Sn2Pd7 (PBE)

Data for Tm2Sn2Pd7 after structural relaxation.

Computed properties:
- Space-group type: Cmmm
- DFT formation energy: -0.397 eV/atom
- N(E_F): 2.56 states/eV/cell

Geometry as extended XYZ:
```
11
Lattice="-3.908 -0.226 4.194 -3.754 -4.837 -3.758 3.711 -4.089 1.557" Properties=species:S:1:pos:R:3 pbc="T T T"
Sn -1.915 -3.246 -0.775
Pd 0.000 0.000 0.000
Pd -4.714 -5.699 2.308
Tm -1.620 -1.387 3.401
Pd 0.763 -3.452 -0.314
Pd -4.616 -3.543 -0.566
Pd -2.760 -5.586 0.212
Pd 0.665 -5.609 2.560
Sn -2.036 -5.905 2.769
Pd -1.191 -3.565 1.782
Tm -2.331 -7.765 -1.408
```

***

Entry 15:
## NbVGa2C (PBE)

Data for NbVGa2C after structural relaxation.

Computed properties:
- Space-group type: P4/mmm
- DFT formation energy: 2.118 eV/atom
- N(E_F): 4.66 states/eV/cell

Geometry as extended XYZ:
```
5
Lattice="-4.185 -2.409 1.578 2.570 -2.789 2.558 -0.385 3.226 3.905" Properties=species:S:1:pos:R:3 pbc="T T T"
Ga -2.092 -1.205 0.789
C -1.000 -0.986 4.020
Ga -0.192 1.613 1.952
Nb 0.000 0.000 0.000
V 1.285 -1.394 1.279
```

***

Entry 16:
## CaRhS2Cl (PBE)

Data for CaRhS2Cl after structural relaxation.

Computed properties:
- Relative energy among the computed polymorphs: 1053 meV per atom
- Space-group type: P4/mmm
- N(E_F): 9.27 states/eV/cell

Geometry as extended XYZ:
```
5
Lattice="5.277 0.000 0.000 0.000 5.277 0.000 0.000 0.000 5.091" Properties=species:S:1:pos:R:3 pbc="T T T"
S 0.000 2.639 0.000
Cl 0.000 0.000 2.546
Ca 0.000 0.000 0.000
Rh 2.639 2.639 2.546
S 2.639 0.000 0.000
```

***

Entry 17:
## RbU2Se3 (PBE)

Data for RbU2Se3 after structural relaxation.

Computed properties:
- Space-group type: P2_1/m
- N(E_F): 26.20 states/eV/cell

Geometry as extended XYZ:
```
12
Lattice="-3.775 0.366 1.379 2.050 -3.556 6.554 1.825 10.739 2.149" Properties=species:S:1:pos:R:3 pbc="T T T"
Se 0.460 2.618 3.519
U 0.690 5.486 9.292
U -1.403 4.820 3.739
Se 0.476 6.707 2.478
Se -1.138 -2.428 6.385
Se -0.360 4.931 6.563
Rb 1.654 7.303 5.545
Rb -1.554 0.245 4.537
Se -0.376 0.842 7.604
U -0.590 2.063 0.790
Se 1.238 9.976 3.697
U 1.503 2.729 6.343
```

***

Entry 18:
## BTePd4 (PBE)

Data for BTePd4 after structural relaxation.

Computed properties:
- Space-group type: C2/c
- N(E_F): 4.55 states/eV/cell

Geometry as extended XYZ:
```
12
Lattice="-1.455 -2.800 -3.825 -0.531 -3.916 6.529 -3.937 5.067 -0.728" Properties=species:S:1:pos:R:3 pbc="T T T"
Pd -4.012 0.886 2.557
Te -1.879 -2.224 2.466
Pd -4.221 -1.634 1.270
Pd -3.433 3.347 0.390
B -5.533 -0.958 2.929
Pd -3.753 -1.353 4.196
Pd -2.170 -0.295 -2.220
B -0.390 -0.691 -0.953
Pd -1.702 -0.014 0.706
Pd -1.911 -2.535 -0.581
Te -4.044 0.576 -0.490
Pd -2.490 -4.996 1.586
```

***

Entry 19:
## HfTl3Te (PBE)

Data for HfTl3Te after structural relaxation.

Computed properties:
- Relative energy among the computed polymorphs: 0 meV per atom
- Space-group type: Pm-3m
- N(E_F): 8.03 states/eV/cell

Geometry as extended XYZ:
```
5
Lattice="-0.395 -0.697 5.653 0.851 -5.611 -0.633 5.632 0.799 0.492" Properties=species:S:1:pos:R:3 pbc="T T T"
Tl -0.197 -0.349 2.827
Te 3.045 -2.754 2.756
Hf 0.000 0.000 0.000
Tl 0.426 -2.805 -0.316
Tl 2.816 0.400 0.246
```

***

Entry 20:
## Li4SbAs2 (PBE)

Data for Li4SbAs2 after structural relaxation.

Computed properties:
- Space-group type: R-3m
- N(E_F): 2.72 states/eV/cell

Geometry as extended XYZ:
```
7
Lattice="4.230 0.000 0.942 2.010 3.722 0.942 0.184 0.109 9.142" Properties=species:S:1:pos:R:3 pbc="T T T"
Li 5.075 3.027 7.117
Sb 0.000 0.000 0.000
As 0.766 0.457 6.527
Li 3.780 2.255 2.962
As 5.658 3.375 4.500
Li 2.644 1.577 8.065
Li 1.349 0.805 3.910
```

***

Theoretical density in Mg/m³, matching the order above: 8.871; 6.694; 8.735; 14.948; 9.281; 8.908; 10.164; 7.329; 4.059; 6.411; 3.990; 7.340; 4.160; 9.491; 4.154; 2.841; 7.877; 10.056; 8.200; 3.474
Total energy in eV for the cell shown, matching the order above: -32.37; -40.85; -21.89; -27.99; -12.32; -79.28; -37.91; -49.44; -25.72; -67.65; -9.75; -17.69; -29.75; -57.67; -23.88; -17.82; -80.03; -63.20; -17.34; -23.97